DFT (PBE+U) results for a relaxed structure of Rb2Cd2MoO6.

Space-group type   No. 12
DFT total energy   -5.060 eV per atom

```
Rb2Cd2MoO6
1.0
-1.425 -5.168 2.072
5.158 0.605 -2.462
1.199 3.291 5.931
Rb Cd Mo O
2 2 1 6
direct
0.825 0.175 0.000 Rb
0.175 0.825 0.000 Rb
0.336 0.664 0.500 Cd
0.664 0.336 0.500 Cd
0.000 0.000 0.500 Mo
0.779 0.779 0.667 O
0.054 0.340 0.672 O
0.221 0.221 0.333 O
0.340 0.054 0.672 O
0.946 0.660 0.328 O
0.660 0.946 0.328 O
```